No. 1
Compound: Cs3CeNp3S8
Source: Alexandria via LeMat-Bulk
Functional: PBE
Structure: relaxed

a = 9.442 Å, b = 9.442 Å, c = 9.442 Å
α = 51.64°, β = 51.64°, γ = 51.64°
Fractional positions:
Cs  0.000  0.500  0.500
Cs  0.500  0.000  0.500
Cs  0.500  0.500  0.000
Ce  0.500  0.500  0.500
Np  0.000  0.000  0.500
Np  0.000  0.500  0.000
Np  0.500  0.000  0.000
S  0.221  0.728  0.728
S  0.225  0.225  0.225
S  0.272  0.272  0.779
S  0.272  0.779  0.272
S  0.728  0.221  0.728
S  0.728  0.728  0.221
S  0.775  0.775  0.775
S  0.779  0.272  0.272

Summary:
Formation energy without anion corrections (eV per atom): -1.4921
E_tot (eV per atom): -6.8479


No. 2
Compound: CuRh
Source: Alexandria via LeMat-Bulk
Functional: PBE
Structure: relaxed

a = 4.270 Å, b = 4.270 Å, c = 7.495 Å
α = 90.00°, β = 90.00°, γ = 120.00°
Fractional positions:
Cu  0.333  0.667  0.085
Cu  0.333  0.667  0.415
Cu  0.667  0.333  0.585
Cu  0.667  0.333  0.915
Rh  0.000  0.000  0.250
Rh  0.000  0.000  0.750
Rh  0.333  0.667  0.750
Rh  0.667  0.333  0.250

Summary:
Energy relative to the elements (eV per atom): 0.36
E_tot (eV per atom): -5.3607


No. 3
Compound: TePIrS2
Source: Alexandria via LeMat-Bulk
Functional: PBE
Structure: relaxed

a = 4.873 Å, b = 4.873 Å, c = 5.138 Å
α = 90.00°, β = 90.00°, γ = 90.00°
Fractional positions:
Te  0.000  0.000  0.000
P  0.000  0.000  0.500
Ir  0.500  0.500  0.500
S  0.000  0.500  0.000
S  0.500  0.000  0.000

Summary:
Formation energy without anion corrections (eV per atom): 1.7454
E_tot (eV per atom): -3.3881


No. 4
Compound: Pu2Al4IrPt3
Source: Alexandria via LeMat-Bulk
Functional: PBE
Structure: relaxed

a = 4.216 Å, b = 4.216 Å, c = 10.471 Å
α = 90.00°, β = 90.00°, γ = 90.00°
Fractional positions:
Pu  0.000  0.500  0.245
Pu  0.500  0.000  0.755
Al  0.000  0.000  0.500
Al  0.000  0.500  0.873
Al  0.500  0.000  0.127
Al  0.500  0.500  0.500
Ir  0.500  0.500  0.000
Pt  0.000  0.000  0.000
Pt  0.000  0.500  0.635
Pt  0.500  0.000  0.365

Summary:
Energy relative to the elements (eV per atom): -0.88
E_tot (eV per atom): -7.9397


No. 5
Compound: RbV4Te8
Source: Alexandria via LeMat-Bulk
Functional: PBE
Structure: relaxed

a = 9.254 Å, b = 9.254 Å, c = 12.931 Å
α = 128.72°, β = 128.72°, γ = 24.89°
Fractional positions:
Rb  0.000  0.000  0.000
V  0.155  0.155  0.474
V  0.330  0.330  0.154
V  0.670  0.670  0.846
V  0.845  0.845  0.526
Te  0.040  0.040  0.737
Te  0.298  0.298  0.918
Te  0.344  0.344  0.674
Te  0.381  0.381  0.415
Te  0.619  0.619  0.585
Te  0.656  0.656  0.326
Te  0.702  0.702  0.082
Te  0.960  0.960  0.263

Summary:
Formation energy without anion corrections (eV per atom): -0.3801
E_tot (eV per atom): -5.1936


No. 6
Compound: SiIrN3
Source: Alexandria via LeMat-Bulk
Functional: PBE
Structure: relaxed

a = 3.867 Å, b = 3.867 Å, c = 3.867 Å
α = 90.00°, β = 90.00°, γ = 90.00°
Fractional positions:
Si  0.000  0.000  0.000
Ir  0.500  0.500  0.500
N  0.000  0.500  0.500
N  0.500  0.000  0.500
N  0.500  0.500  0.000

Summary:
Formation energy without anion corrections (eV per atom): 1.5511
E_tot (eV per atom): -6.3009


No. 7
Compound: Pm6Hg3Ru
Source: Alexandria via LeMat-Bulk
Functional: PBE
Structure: relaxed

a = 8.511 Å, b = 8.511 Å, c = 8.511 Å
α = 93.22°, β = 93.22°, γ = 93.22°
Fractional positions:
Pm  0.037  0.923  0.687
Pm  0.077  0.313  0.963
Pm  0.187  0.423  0.537
Pm  0.313  0.963  0.077
Pm  0.423  0.537  0.187
Pm  0.463  0.813  0.577
Pm  0.537  0.187  0.423
Pm  0.577  0.463  0.813
Pm  0.687  0.037  0.923
Pm  0.813  0.577  0.463
Pm  0.923  0.687  0.037
Pm  0.963  0.077  0.313
Hg  0.150  0.750  0.350
Hg  0.250  0.650  0.850
Hg  0.350  0.150  0.750
Hg  0.650  0.850  0.250
Hg  0.750  0.350  0.150
Hg  0.850  0.250  0.650
Ru  0.000  0.000  0.000
Ru  0.500  0.500  0.500

Summary:
Energy relative to the elements (eV per atom): -0.26
E_tot (eV per atom): -4.1319


No. 8
Compound: NpTaZn17
Source: Alexandria via LeMat-Bulk
Functional: PBE
Structure: relaxed

a = 6.724 Å, b = 6.724 Å, c = 6.724 Å
α = 82.28°, β = 82.28°, γ = 82.28°
Fractional positions:
Np  0.000  0.000  0.000
Ta  0.346  0.346  0.346
Zn  0.039  0.039  0.470
Zn  0.039  0.470  0.039
Zn  0.148  0.683  0.683
Zn  0.316  0.316  0.793
Zn  0.316  0.793  0.316
Zn  0.369  0.660  0.969
Zn  0.369  0.969  0.660
Zn  0.470  0.039  0.039
Zn  0.561  0.561  0.561
Zn  0.660  0.369  0.969
Zn  0.660  0.969  0.369
Zn  0.683  0.148  0.683
Zn  0.683  0.683  0.148
Zn  0.759  0.759  0.759
Zn  0.793  0.316  0.316
Zn  0.969  0.369  0.660
Zn  0.969  0.660  0.369

Summary:
Energy relative to the elements (eV per atom): 0.04
E_tot (eV per atom): -2.4094


No. 9
Compound: CeTaRh6
Source: Alexandria via LeMat-Bulk
Functional: PBE
Structure: relaxed

a = 3.979 Å, b = 3.979 Å, c = 7.987 Å
α = 90.00°, β = 90.00°, γ = 90.00°
Fractional positions:
Ce  0.000  0.000  0.000
Ta  0.000  0.000  0.500
Rh  0.000  0.500  0.266
Rh  0.000  0.500  0.734
Rh  0.500  0.000  0.266
Rh  0.500  0.000  0.734
Rh  0.500  0.500  0.000
Rh  0.500  0.500  0.500

Summary:
Energy relative to the elements (eV per atom): -0.61
E_tot (eV per atom): -8.3486


No. 10
Compound: TiIn2Au
Source: Alexandria via LeMat-Bulk
Functional: PBE
Structure: relaxed

a = 6.205 Å, b = 6.205 Å, c = 6.205 Å
α = 103.04°, β = 103.04°, γ = 123.28°
Fractional positions:
Ti  0.000  0.000  0.000
Ti  0.750  0.250  0.500
In  0.140  0.125  0.515
In  0.375  0.860  0.985
In  0.610  0.625  0.485
In  0.875  0.390  0.015
Au  0.250  0.750  0.500
Au  0.500  0.500  0.000

Summary:
Energy relative to the elements (eV per atom): 0.09
E_tot (eV per atom): -4.0769


No. 11
Compound: Pm2SmErBi5
Source: Alexandria via LeMat-Bulk
Functional: PBE
Structure: relaxed

a = 5.520 Å, b = 5.520 Å, c = 11.882 Å
α = 90.00°, β = 90.00°, γ = 90.00°
Fractional positions:
Pm  0.000  0.000  0.225
Pm  0.000  0.000  0.775
Sm  0.500  0.500  0.000
Er  0.500  0.500  0.500
Bi  0.000  0.000  0.500
Bi  0.000  0.500  0.000
Bi  0.500  0.000  0.000
Bi  0.500  0.500  0.257
Bi  0.500  0.500  0.743

Summary:
Energy relative to the elements (eV per atom): -0.02
E_tot (eV per atom): -4.2597


No. 12
Compound: MgZrTlPt
Source: Alexandria via LeMat-Bulk
Functional: PBE
Structure: relaxed

a = 4.827 Å, b = 4.827 Å, c = 4.827 Å
α = 60.00°, β = 60.00°, γ = 60.00°
Fractional positions:
Mg  0.000  0.000  0.000
Zr  0.500  0.500  0.500
Tl  0.750  0.750  0.750
Pt  0.250  0.250  0.250

Summary:
Energy relative to the elements (eV per atom): -0.44
E_tot (eV per atom): -5.0756